Entry 1:
A plane-wave DFT calculation with PBE-GGA was carried out for a geometry-optimized Sc3Fe structure.

Results
* mass density: 3.881 Mg/m³
* final energy: -6.6150 eV per atom
* ΔE_f: 249 meV/atom
* symmetry: Pm-3n

Unit cell a=5.465 b=5.465 c=5.465 alpha=90.00 beta=90.00 gamma=90.00
Element x y z (fractional)
Sc 0.000 0.250 0.500
Sc 0.000 0.750 0.500
Sc 0.250 0.500 0.000
Sc 0.500 0.000 0.250
Sc 0.500 0.000 0.750
Sc 0.750 0.500 0.000
Fe 0.000 0.000 0.000
Fe 0.500 0.500 0.500

Entry 2:
A plane-wave DFT calculation with PBE-GGA was carried out for a geometry-optimized Sc2Fe3 structure.

Results
* mass density: 5.163 Mg/m³
* final energy: -7.2543 eV per atom
* ΔE_f: 356 meV/atom
* symmetry: P-3m1

Unit cell a=3.327 b=3.327 c=8.637 alpha=90.00 beta=90.00 gamma=120.00
Element x y z (fractional)
Sc 0.333 0.667 0.288
Sc 0.667 0.333 0.712
Fe 0.000 0.000 0.500
Fe 0.333 0.667 0.954
Fe 0.667 0.333 0.046

Entry 3:
A plane-wave DFT calculation with PBE-GGA was carried out for a geometry-optimized Sc3Fe structure.

Results
* mass density: 3.986 Mg/m³
* final energy: -6.7689 eV per atom
* ΔE_f: 95 meV/atom
* symmetry: Pmmn

Unit cell a=4.669 b=6.249 c=5.446 alpha=90.00 beta=90.00 gamma=90.00
Element x y z (fractional)
Sc 0.250 0.005 0.166
Sc 0.250 0.250 0.627
Sc 0.250 0.495 0.166
Sc 0.750 0.505 0.834
Sc 0.750 0.750 0.373
Sc 0.750 0.995 0.834
Fe 0.250 0.750 0.697
Fe 0.750 0.250 0.303

Entry 4:
A plane-wave DFT calculation with PBE-GGA was carried out for a geometry-optimized Sc4Fe5 structure.

Results
* polymorph energy (0 for the lowest one): 56 meV/atom
* mass density: 5.388 Mg/m³
* final energy: -7.4050 eV per atom
* ΔE_f: 110 meV/atom
* symmetry: P6_3/mcm

Unit cell a=7.862 b=7.862 c=5.286 alpha=90.00 beta=90.00 gamma=120.00
Element x y z (fractional)
Sc 0.000 0.000 0.000
Sc 0.000 0.000 0.500
Sc 0.000 0.367 0.250
Sc 0.000 0.633 0.750
Sc 0.367 0.000 0.250
Sc 0.367 0.367 0.750
Sc 0.633 0.000 0.750
Sc 0.633 0.633 0.250
Fe 0.000 0.315 0.750
Fe 0.000 0.685 0.250
Fe 0.315 0.000 0.750
Fe 0.315 0.315 0.250
Fe 0.333 0.667 0.000
Fe 0.333 0.667 0.500
Fe 0.667 0.333 0.000
Fe 0.667 0.333 0.500
Fe 0.685 0.000 0.250
Fe 0.685 0.685 0.750

Entry 5:
A plane-wave DFT calculation with PBE-GGA was carried out for a geometry-optimized Sc3Fe structure.

Results
* mass density: 3.930 Mg/m³
* final energy: -6.7146 eV per atom
* ΔE_f: 150 meV/atom
* symmetry: Pmm2

Unit cell a=3.380 b=4.708 c=5.064 alpha=90.00 beta=90.00 gamma=90.00
Element x y z (fractional)
Sc 0.000 0.000 0.000
Sc 0.000 0.500 0.392
Sc 0.500 0.500 0.866
Fe 0.500 0.000 0.506

Entry 6:
A plane-wave DFT calculation with PBE-GGA was carried out for a geometry-optimized Sc3Fe structure.

Results
* mass density: 3.835 Mg/m³
* final energy: -6.7629 eV per atom
* ΔE_f: 101 meV/atom
* symmetry: P-6m2

Unit cell a=3.242 b=3.242 c=9.076 alpha=90.00 beta=90.00 gamma=120.00
Element x y z (fractional)
Sc 0.000 0.000 0.000
Sc 0.333 0.667 0.297
Sc 0.333 0.667 0.703
Fe 0.000 0.000 0.500

Entry 7:
A plane-wave DFT calculation with PBE-GGA was carried out for a geometry-optimized Sc3Fe structure.

Results
* mass density: 3.945 Mg/m³
* final energy: -6.9061 eV per atom
* ΔE_f: -42 meV/atom
* symmetry: P4/mmm

Unit cell a=3.150 b=3.150 c=8.090 alpha=90.00 beta=90.00 gamma=90.00
Element x y z (fractional)
Sc 0.000 0.000 0.000
Sc 0.500 0.500 0.316
Sc 0.500 0.500 0.684
Fe 0.000 0.000 0.500

Entry 8:
A plane-wave DFT calculation with PBE-GGA was carried out for a geometry-optimized Sc3Fe structure.

Results
* mass density: 3.837 Mg/m³
* final energy: -6.7241 eV per atom
* ΔE_f: 140 meV/atom
* symmetry: R-3m

Unit cell a=9.455 b=9.455 c=9.455 alpha=19.52 beta=19.52 gamma=19.52
Element x y z (fractional)
Sc 0.000 0.000 0.000
Sc 0.233 0.233 0.233
Sc 0.767 0.767 0.767
Fe 0.500 0.500 0.500

Entry 9:
A plane-wave DFT calculation with PBE-GGA was carried out for a geometry-optimized Sc2Fe structure.

Results
* mass density: 3.980 Mg/m³
* final energy: -6.2745 eV per atom
* ΔE_f: 767 meV/atom
* symmetry: Fd-3m

Unit cell a=5.561 b=5.561 c=5.561 alpha=60.00 beta=60.00 gamma=60.00
Element x y z (fractional)
Sc 0.000 0.000 0.000
Sc 0.000 0.000 0.500
Sc 0.000 0.500 0.000
Sc 0.500 0.000 0.000
Fe 0.375 0.375 0.375
Fe 0.625 0.625 0.625

Entry 10:
A plane-wave DFT calculation with PBE-GGA was carried out for a geometry-optimized Sc3Fe2 structure.

Results
* polymorph energy (0 for the lowest one): 135 meV/atom
* mass density: 4.438 Mg/m³
* final energy: -6.9776 eV per atom
* ΔE_f: 206 meV/atom
* symmetry: R-3m

Unit cell a=10.651 b=10.651 c=10.651 alpha=17.20 beta=17.20 gamma=17.20
Element x y z (fractional)
Sc 0.000 0.000 0.000
Sc 0.214 0.214 0.214
Sc 0.786 0.786 0.786
Fe 0.395 0.395 0.395
Fe 0.605 0.605 0.605

Entry 11:
A plane-wave DFT calculation with PBE-GGA was carried out for a geometry-optimized Sc3Fe structure.

Results
* mass density: 2.745 Mg/m³
* final energy: -6.4760 eV per atom
* ΔE_f: 388 meV/atom
* symmetry: Pm-3m

Unit cell a=4.868 b=4.868 c=4.868 alpha=90.00 beta=90.00 gamma=90.00
Element x y z (fractional)
Sc 0.000 0.000 0.500
Sc 0.000 0.500 0.000
Sc 0.500 0.000 0.000
Fe 0.000 0.000 0.000

Entry 12:
A plane-wave DFT calculation with PBE-GGA was carried out for a geometry-optimized ScFe5 structure.

Results
* mass density: 6.885 Mg/m³
* final energy: -8.2045 eV per atom
* ΔE_f: -97 meV/atom
* symmetry: F-43m

Unit cell a=4.800 b=4.800 c=4.800 alpha=60.00 beta=60.00 gamma=60.00
Element x y z (fractional)
Sc 0.000 0.000 0.000
Fe 0.375 0.375 0.375
Fe 0.375 0.375 0.874
Fe 0.375 0.874 0.375
Fe 0.750 0.750 0.750
Fe 0.874 0.375 0.375

Entry 13:
A plane-wave DFT calculation with PBE-GGA was carried out for a geometry-optimized Sc3Fe structure.

Results
* mass density: 3.910 Mg/m³
* final energy: -6.6000 eV per atom
* ΔE_f: 264 meV/atom
* symmetry: R-3m

Unit cell a=5.641 b=5.641 c=5.641 alpha=116.85 beta=116.85 gamma=116.85
Element x y z (fractional)
Sc 0.000 0.500 0.500
Sc 0.500 0.000 0.500
Sc 0.500 0.500 0.000
Fe 0.000 0.000 0.000

Entry 14:
A plane-wave DFT calculation with PBE-GGA was carried out for a geometry-optimized Sc2Fe3 structure.

Results
* mass density: 5.445 Mg/m³
* final energy: -7.3140 eV per atom
* ΔE_f: 296 meV/atom
* symmetry: R-3m

Unit cell a=10.289 b=10.289 c=10.289 alpha=16.71 beta=16.71 gamma=16.71
Element x y z (fractional)
Sc 0.101 0.101 0.101
Sc 0.899 0.899 0.899
Fe 0.306 0.306 0.306
Fe 0.500 0.500 0.500
Fe 0.694 0.694 0.694

Entry 15:
A plane-wave DFT calculation with PBE-GGA was carried out for a geometry-optimized Sc3Fe2 structure.

Results
* polymorph energy (0 for the lowest one): 47 meV/atom
* mass density: 4.669 Mg/m³
* final energy: -7.0655 eV per atom
* ΔE_f: 118 meV/atom
* symmetry: Fdd2

Unit cell a=7.144 b=5.605 c=8.240 alpha=58.49 beta=41.98 gamma=79.52
Element x y z (fractional)
Sc 0.000 0.000 0.000
Sc 0.250 0.250 0.250
Sc 0.383 0.617 0.382
Sc 0.617 0.383 0.618
Sc 0.632 0.868 0.633
Sc 0.868 0.632 0.867
Fe 0.053 0.447 0.054
Fe 0.196 0.803 0.197
Fe 0.447 0.053 0.447
Fe 0.803 0.196 0.803

Entry 16:
A plane-wave DFT calculation with PBE-GGA was carried out for a geometry-optimized Sc2Fe structure.

Results
* mass density: 4.423 Mg/m³
* final energy: -7.0868 eV per atom
* ΔE_f: -45 meV/atom
* symmetry: Cmcm

Unit cell a=7.218 b=7.218 c=4.826 alpha=90.00 beta=90.00 gamma=154.21
Element x y z (fractional)
Sc 0.070 0.930 0.750
Sc 0.211 0.789 0.250
Sc 0.789 0.211 0.750
Sc 0.930 0.070 0.250
Fe 0.426 0.574 0.750
Fe 0.574 0.426 0.250

Entry 17:
A plane-wave DFT calculation with PBE-GGA was carried out for a geometry-optimized Sc4Fe5 structure.

Results
* polymorph energy (0 for the lowest one): 0 meV/atom
* mass density: 5.383 Mg/m³
* final energy: -7.4608 eV per atom
* ΔE_f: 55 meV/atom
* symmetry: I4/mmm

Unit cell a=6.732 b=6.732 c=6.732 alpha=93.50 beta=93.50 gamma=151.38
Element x y z (fractional)
Sc 0.000 0.296 0.296
Sc 0.000 0.704 0.704
Sc 0.296 0.000 0.296
Sc 0.704 0.000 0.704
Fe 0.000 0.000 0.000
Fe 0.332 0.332 0.664
Fe 0.332 0.668 0.000
Fe 0.668 0.332 0.000
Fe 0.668 0.668 0.336

Entry 18:
A plane-wave DFT calculation with PBE-GGA was carried out for a geometry-optimized Sc2Fe structure.

Results
* mass density: 4.144 Mg/m³
* final energy: -7.1166 eV per atom
* ΔE_f: -75 meV/atom
* symmetry: I4_1/amd

Unit cell a=12.505 b=12.505 c=12.505 alpha=165.85 beta=165.85 gamma=20.06
Element x y z (fractional)
Sc 0.314 0.564 0.750
Sc 0.436 0.686 0.750
Sc 0.564 0.314 0.250
Sc 0.686 0.436 0.250
Fe 0.125 0.875 0.250
Fe 0.875 0.125 0.750

Entry 19:
A plane-wave DFT calculation with PBE-GGA was carried out for a geometry-optimized Sc6Fe7 structure.

Results
* mass density: 5.360 Mg/m³
* final energy: -7.5888 eV per atom
* ΔE_f: -110 meV/atom
* symmetry: R-3m

Unit cell a=9.804 b=9.804 c=9.804 alpha=29.69 beta=29.69 gamma=29.69
Element x y z (fractional)
Sc 0.052 0.052 0.052
Sc 0.152 0.152 0.152
Sc 0.333 0.333 0.333
Sc 0.667 0.667 0.667
Sc 0.848 0.848 0.848
Sc 0.948 0.948 0.948
Fe 0.094 0.594 0.594
Fe 0.406 0.406 0.906
Fe 0.406 0.906 0.406
Fe 0.500 0.500 0.500
Fe 0.594 0.094 0.594
Fe 0.594 0.594 0.094
Fe 0.906 0.406 0.406

Entry 20:
A plane-wave DFT calculation with PBE-GGA was carried out for a geometry-optimized Sc2Fe structure.

Results
* mass density: 4.074 Mg/m³
* final energy: -6.9827 eV per atom
* ΔE_f: 59 meV/atom
* symmetry: Pnnm

Unit cell a=6.143 b=6.151 c=3.145 alpha=90.00 beta=90.00 gamma=90.00
Element x y z (fractional)
Sc 0.175 0.221 0.000
Sc 0.325 0.721 0.500
Sc 0.675 0.279 0.500
Sc 0.825 0.779 0.000
Fe 0.000 0.500 0.500
Fe 0.500 0.000 0.000

Entry 21:
A plane-wave DFT calculation with PBE-GGA was carried out for a geometry-optimized Sc2Fe structure.

Results
* mass density: 4.110 Mg/m³
* final energy: -6.9041 eV per atom
* ΔE_f: 138 meV/atom
* symmetry: Fm-3m

Unit cell a=4.367 b=4.367 c=4.367 alpha=60.00 beta=60.00 gamma=60.00
Element x y z (fractional)
Sc 0.250 0.250 0.250
Sc 0.750 0.750 0.750
Fe 0.000 0.000 0.000

Entry 22:
A plane-wave DFT calculation with PBE-GGA was carried out for a geometry-optimized Sc2Fe structure.

Results
* mass density: 4.133 Mg/m³
* final energy: -6.8871 eV per atom
* ΔE_f: 155 meV/atom
* symmetry: P-3m1

Unit cell a=3.209 b=3.209 c=6.566 alpha=90.00 beta=90.00 gamma=120.00
Element x y z (fractional)
Sc 0.333 0.667 0.276
Sc 0.667 0.333 0.724
Fe 0.000 0.000 0.000

Entry 23:
A plane-wave DFT calculation with PBE-GGA was carried out for a geometry-optimized ScFe2Se structure.

Results
* uncorrected formation energy: -0.231 eV/atom
* mass density: 6.368 Mg/m³
* final energy: -6.9161 eV per atom
* symmetry: P4/mmm

Unit cell a=3.736 b=3.736 c=4.401 alpha=90.00 beta=90.00 gamma=90.00
Element x y z (fractional)
Sc 0.000 0.000 0.000
Fe 0.000 0.500 0.500
Fe 0.500 0.000 0.500
Se 0.500 0.500 0.000

Entry 24:
A plane-wave DFT calculation with PBE-GGA was carried out for a geometry-optimized ScFeSe2 structure.

Results
* polymorph energy (0 for the lowest one): 16 meV/atom
* uncorrected formation energy: -0.857 eV/atom
* mass density: 5.478 Mg/m³
* final energy: -6.2982 eV per atom
* symmetry: Amm2

Unit cell a=3.585 b=6.438 c=6.438 alpha=31.86 beta=90.00 gamma=90.00
Element x y z (fractional)
Sc 0.000 0.000 0.000
Fe 0.500 0.791 0.791
Se 0.000 0.333 0.333
Se 0.500 0.590 0.590

Entry 25:
A plane-wave DFT calculation with PBE-GGA was carried out for a geometry-optimized Sc2FeSe structure.

Results
* uncorrected formation energy: -0.396 eV/atom
* mass density: 4.704 Mg/m³
* final energy: -6.5486 eV per atom
* symmetry: R3m

Unit cell a=6.256 b=6.256 c=6.256 alpha=36.96 beta=36.96 gamma=36.96
Element x y z (fractional)
Sc 0.000 0.000 0.000
Sc 0.179 0.179 0.179
Fe 0.437 0.437 0.437
Se 0.751 0.751 0.751

Entry 26:
A plane-wave DFT calculation with PBE-GGA was carried out for a geometry-optimized ScFe2Se structure.

Results
* uncorrected formation energy: -0.180 eV/atom
* mass density: 5.915 Mg/m³
* final energy: -6.8650 eV per atom
* symmetry: P2/m

Unit cell a=3.343 b=4.072 c=4.865 alpha=90.00 beta=92.73 gamma=90.00
Element x y z (fractional)
Sc 0.000 0.000 0.000
Fe 0.471 0.500 0.765
Fe 0.529 0.500 0.235
Se 0.500 0.000 0.500

Entry 27:
A plane-wave DFT calculation with PBE-GGA was carried out for a geometry-optimized ScFeSe2 structure.

Results
* polymorph energy (0 for the lowest one): 60 meV/atom
* uncorrected formation energy: -0.813 eV/atom
* mass density: 5.594 Mg/m³
* final energy: -6.2540 eV per atom
* symmetry: C2/m

Unit cell a=3.872 b=3.872 c=6.343 alpha=107.40 beta=107.40 gamma=59.34
Element x y z (fractional)
Sc 0.000 0.000 0.000
Fe 0.500 0.500 0.500
Se 0.246 0.246 0.735
Se 0.754 0.754 0.265